Record 1
Density functional theory data (GGA-PBE) for a relaxed SrNbHg crystal.

abc: 5.294 5.294 5.294
angles: 60.00 60.00 60.00
Positions (direct):
Hg (0.250, 0.250, 0.250)
Nb (0.750, 0.750, 0.750)
Sr (0.000, 0.000, 0.000)

Electronic total energy: -2.7602 eV per atom
Excess energy over the best structure of this formula in the dataset: 1.39 eV/f.u.

=====

Record 2
Density functional theory data (GGA-PBE) for a relaxed SrNbHg crystal.

abc: 5.098 5.098 5.098
angles: 60.00 60.00 60.00
Positions (direct):
Hg (0.000, 0.000, 0.000)
Sr (0.750, 0.750, 0.750)
Nb (0.250, 0.250, 0.250)

Electronic total energy: -3.2231 eV per atom
Excess energy over the best structure of this formula in the dataset: 0.00 eV/f.u.

=====

Record 3
Density functional theory data (GGA-PBE) for a relaxed Ta2Nb2Hg crystal.

abc: 7.329 7.329 7.329
angles: 149.32 149.32 43.94
Positions (direct):
Nb (0.250, 0.750, 0.500)
Nb (0.750, 0.250, 0.500)
Ta (0.595, 0.595, 0.000)
Ta (0.405, 0.405, 0.000)
Hg (0.000, 0.000, 0.000)

Electronic total energy: -7.9939 eV per atom
Excess energy over the best structure of this formula in the dataset: 0.31 eV/f.u.
Energy relative to the elements: 844 meV per atom

=====

Record 4
Density functional theory data (GGA-PBE) for a relaxed Ta2Nb2Hg crystal.

abc: 3.928 3.928 7.264
angles: 105.69 105.69 90.00
Positions (direct):
Hg (0.000, 0.000, 0.000)
Nb (0.402, 0.402, 0.805)
Nb (0.598, 0.598, 0.195)
Ta (0.250, 0.750, 0.500)
Ta (0.750, 0.250, 0.500)

Electronic total energy: -8.0568 eV per atom
Excess energy over the best structure of this formula in the dataset: 0.00 eV/f.u.
Energy relative to the elements: 781 meV per atom

=====

Record 5
Density functional theory data (GGA-PBE) for a relaxed Ta2NbHg crystal.

abc: 4.727 4.727 4.727
angles: 60.00 60.00 60.00
Positions (direct):
Nb (0.500, 0.500, 0.500)
Ta (0.750, 0.750, 0.750)
Ta (0.000, 0.000, 0.000)
Hg (0.250, 0.250, 0.250)

Electronic total energy: -8.1979 eV per atom
Energy relative to the elements: 326 meV per atom

=====

Record 6
Density functional theory data (GGA-PBE) for a relaxed TbNbHg crystal.

abc: 4.842 4.842 4.842
angles: 60.00 60.00 60.00
Positions (direct):
Nb (0.250, 0.250, 0.250)
Hg (0.000, 0.000, 0.000)
Tb (0.750, 0.750, 0.750)

Electronic total energy: -4.4396 eV per atom
Excess energy over the best structure of this formula in the dataset: 0.00 eV/f.u.
Energy relative to the elements: 567 meV per atom

=====

Record 7
Density functional theory data (GGA-PBE) for a relaxed NbTcHg2 crystal.

abc: 4.704 4.704 4.704
angles: 60.00 60.00 60.00
Positions (direct):
Tc (0.250, 0.250, 0.250)
Nb (0.000, 0.000, 0.000)
Hg (0.500, 0.500, 0.500)
Hg (0.750, 0.750, 0.750)

Electronic total energy: -4.6742 eV per atom
Energy relative to the elements: 588 meV per atom

=====

Record 8
Density functional theory data (GGA-PBE) for a relaxed Nb2TcHg crystal.

abc: 4.636 4.636 4.636
angles: 60.00 60.00 60.00
Positions (direct):
Hg (0.250, 0.250, 0.250)
Nb (0.000, 0.000, 0.000)
Nb (0.750, 0.750, 0.750)
Tc (0.500, 0.500, 0.500)

Electronic total energy: -7.3884 eV per atom
Energy relative to the elements: 323 meV per atom